Rb3HoTe3: optimized geometry, PBE.

The total energy is -50.3 eV for the cell shown. The formation energy (no corrections) is -8.2 eV/f.u. For the density of states at the Fermi level, the calculation gives 0.0 states/eV/f.u.

Geometry as POSCAR:
```
Rb3HoTe3
1.0
9.244 0.192 -0.826
-4.038 8.318 -0.826
-0.095 -0.154 8.973
Rb Ho Te
6 2 6
Cartesian
-1.734 6.802 3.660 Rb
3.143 5.139 2.259 Rb
1.968 3.217 5.061 Rb
-0.786 6.328 -0.826 Rb
5.992 2.182 -0.826 Rb
6.845 1.554 3.660 Rb
4.200 6.866 6.332 Ho
0.912 1.490 0.989 Ho
1.502 6.989 5.345 Te
5.539 4.520 5.345 Te
-0.427 3.836 1.976 Te
0.460 0.751 7.060 Te
4.652 7.605 0.261 Te
3.610 1.367 1.976 Te
```